Cs3V2AgF9 | Alexandria | GGA+U | relaxed; total energy = -5.048 eV per atom; density = 4.9 g cm⁻³; V = 263 Å³/cell
1.0
-2.394 -0.469 -5.751
5.515 -2.625 1.311
-3.624 -6.591 2.046
F Cs V Ag
9 3 2 1
Direct
0.182 0.818 0.301 F
0.182 0.364 0.301 F
0.364 0.182 0.699 F
0.500 0.500 0.000 F
0.500 0.000 0.000 F
0.818 0.636 0.699 F
0.000 0.500 0.000 F
0.818 0.182 0.699 F
0.636 0.818 0.301 F
0.000 0.000 0.000 Cs
0.667 0.333 0.351 Cs
0.333 0.667 0.649 Cs
0.667 0.333 0.850 V
0.333 0.667 0.150 V
0.000 0.000 0.500 Ag

---

Cs3VAg2F9 | Alexandria | GGA+U | relaxed; total energy = -4.497 eV per atom; density = 4.7 g cm⁻³; V = 298 Å³/cell
1.0
-6.539 -0.377 0.320
3.697 -3.928 3.730
-0.032 5.495 5.818
Cs F V Ag
3 9 1 2
Direct
0.333 0.667 0.708 Cs
0.667 0.333 0.292 Cs
0.000 0.000 0.000 Cs
0.138 0.862 0.367 F
0.000 0.500 0.000 F
0.500 0.000 0.000 F
0.862 0.724 0.633 F
0.724 0.862 0.367 F
0.276 0.138 0.633 F
0.862 0.138 0.633 F
0.500 0.500 0.000 F
0.138 0.276 0.367 F
0.000 0.000 0.500 V
0.333 0.667 0.171 Ag
0.667 0.333 0.829 Ag

---

CsAg2WF8 | Alexandria | GGA+U | relaxed; total energy = -4.476 eV per atom; density = 5.2 g cm⁻³; V = 218 Å³/cell
1.0
5.341 0.000 0.000
2.671 4.626 0.000
2.671 1.542 8.829
F Ag W Cs
8 2 1 1
Direct
0.970 0.651 0.122 F
0.147 0.147 0.560 F
0.349 0.743 0.878 F
0.651 0.257 0.122 F
0.743 0.030 0.878 F
0.030 0.349 0.878 F
0.853 0.853 0.440 F
0.257 0.970 0.122 F
0.772 0.772 0.685 Ag
0.228 0.228 0.315 Ag
0.000 0.000 0.000 W
0.500 0.500 0.500 Cs

---

CsAgWF6 | Alexandria | GGA+U | relaxed; total energy = -4.844 eV per atom; density = 4.7 g cm⁻³; V = 379 Å³/cell
1.0
-1.313 5.298 -1.713
-5.024 -0.369 2.712
4.859 4.302 9.586
W F Ag Cs
2 12 2 2
Direct
0.000 0.000 0.334 W
0.500 0.500 0.834 W
0.657 0.657 0.971 F
0.157 0.843 0.471 F
0.816 0.184 0.212 F
0.254 0.746 0.817 F
0.343 0.343 0.971 F
0.843 0.157 0.471 F
0.754 0.754 0.317 F
0.316 0.316 0.712 F
0.746 0.254 0.817 F
0.246 0.246 0.317 F
0.184 0.816 0.212 F
0.684 0.684 0.712 F
0.500 0.500 0.171 Ag
0.000 0.000 0.671 Ag
0.000 0.000 0.996 Cs
0.500 0.500 0.496 Cs

---

- Among the records above, which one has the highest V?
  CsAgWF6

---

- Look up the total energy of the first one.
  -5.048 eV per atom